No. 1
A plane-wave DFT calculation with PBE-GGA was carried out for a relaxed NdTm2Ga6 crystal.

```
NdTm2Ga6
1.0
-2.157 3.535 6.560
2.157 -3.535 6.560
2.157 3.535 -6.560
Nd Tm Ga
1 2 6
Direct
0.000 0.000 0.000 Nd
0.374 0.874 0.500 Tm
0.626 0.126 0.500 Tm
0.010 0.314 0.696 Ga
0.317 0.500 0.817 Ga
0.382 0.686 0.696 Ga
0.618 0.314 0.304 Ga
0.683 0.500 0.183 Ga
0.990 0.686 0.304 Ga
```

## Properties
Distance to the lowest polymorph of the same formula (kJ/mol of atoms): 12.2
ρ (Mg/m³): 7.471

=====

No. 2
A plane-wave DFT calculation with PBE-GGA was carried out for a relaxed NdTmGa crystal.

```
NdTmGa
1.0
-1.759 1.759 6.566
1.759 -1.759 6.566
1.759 1.759 -6.566
Nd Tm Ga
1 1 1
Direct
0.000 0.000 0.000 Nd
0.289 0.289 0.000 Tm
0.655 0.655 0.000 Ga
```

## Properties
Distance to the lowest polymorph of the same formula (kJ/mol of atoms): 5.3
ρ (Mg/m³): 7.826

=====

No. 3
A plane-wave DFT calculation with PBE-GGA was carried out for a relaxed Nd2TmGa crystal.

```
Nd2TmGa
1.0
3.609 0.000 0.000
0.000 3.609 0.000
0.000 0.000 8.996
Nd Tm Ga
2 1 1
Direct
0.000 0.000 0.213 Nd
0.000 0.000 0.787 Nd
0.500 0.500 0.500 Tm
0.500 0.500 0.000 Ga
```

## Properties
Distance to the lowest polymorph of the same formula (kJ/mol of atoms): 3.2
ρ (Mg/m³): 7.470

=====

No. 4
A plane-wave DFT calculation with PBE-GGA was carried out for a relaxed Nd4Tm3Ga4 crystal.

```
Nd4Tm3Ga4
1.0
-1.758 4.531 9.198
1.758 -4.531 9.198
1.758 4.531 -9.198
Nd Tm Ga
4 3 4
Direct
0.010 0.835 0.175 Nd
0.341 0.165 0.175 Nd
0.659 0.835 0.825 Nd
0.990 0.165 0.825 Nd
0.000 0.500 0.500 Tm
0.408 0.408 0.000 Tm
0.592 0.592 0.000 Tm
0.278 0.000 0.278 Ga
0.279 0.779 0.500 Ga
0.721 0.221 0.500 Ga
0.722 0.000 0.722 Ga
```

## Properties
Calculated total energy (eV per atom): -4.46
ρ (Mg/m³): 7.721

=====

No. 5
A plane-wave DFT calculation with PBE-GGA was carried out for a relaxed Nd2TmGa4 crystal.

```
Nd2TmGa4
1.0
-2.092 2.149 9.366
2.092 -2.149 9.366
2.092 2.149 -9.366
Nd Tm Ga
2 1 4
Direct
0.184 0.184 0.000 Nd
0.816 0.816 0.000 Nd
0.000 0.500 0.500 Tm
0.360 0.360 0.000 Ga
0.435 0.935 0.500 Ga
0.565 0.065 0.500 Ga
0.640 0.640 0.000 Ga
```

## Properties
Calculated total energy (eV per atom): -4.31
ρ (Mg/m³): 7.257

=====

No. 6
A plane-wave DFT calculation with PBE-GGA was carried out for a relaxed NdTmGa crystal.

```
NdTmGa
1.0
7.960 0.000 0.000
-3.980 6.893 0.000
0.000 0.000 4.453
Nd Tm Ga
3 3 3
Direct
0.000 0.602 0.000 Nd
0.398 0.398 0.000 Nd
0.602 0.000 0.000 Nd
0.000 0.265 0.500 Tm
0.265 0.000 0.500 Tm
0.735 0.735 0.500 Tm
0.000 0.000 0.000 Ga
0.333 0.667 0.500 Ga
0.667 0.333 0.500 Ga
```

## Properties
Distance to the lowest polymorph of the same formula (kJ/mol of atoms): 0.0
ρ (Mg/m³): 7.807